Entry one
BaCrRu2 | Alexandria | GGA-PBE | optimized geometry; D(E_F) = 1.8605 states/eV/atom
1.0
4.8078 0.0000 0.0000
0.0000 4.8078 0.0000
0.0000 0.0000 3.3482
Ba Cr Ru
1 1 2
Cartesian
0.0000 0.0000 0.0000
2.4039 2.4039 0.0000
0.0000 2.4039 1.6741
2.4039 0.0000 1.6741

Entry two
BaCrRu2 | Alexandria | GGA-PBE | optimized geometry; D(E_F) = 1.6237 states/eV/atom
1.0
3.1318 0.0000 0.0000
0.0000 4.7478 0.0000
0.0000 0.0000 5.1607
Ba Cr Ru
1 1 2
Cartesian
0.0000 0.0000 0.0000
1.5659 0.0000 2.5803
0.0000 2.3739 2.5803
1.5659 2.3739 0.0000

Entry three
BaCrRu2 | Alexandria | GGA-PBE | optimized geometry; D(E_F) = 0.8504 states/eV/atom
1.0
2.1639 1.2493 5.8917
-2.1639 1.2493 5.8917
0.0000 -2.4987 5.8917
Ba Cr Ru
1 1 2
Cartesian
0.0000 0.0000 0.0000
0.0000 0.0000 3.3253
0.0000 0.0000 8.8137
0.0000 0.0000 14.3217

entry two is the least stable structure shown above.